(1)
NbSeOF2 at its PBEsol-relaxed geometry, computed with meta-GGA SCAN.

Cell: 4.5119 4.5119 3.7777 Å, 90.00 90.00 90.00°
Closest atoms and distances in Å follow each position.
Positions (direct):
Nb 0.0000 0.0000 0.0000  8 F 2.94, 4 O 3.19
Se 0.5000 0.5000 0.5000  2 O 1.89
O 0.5000 0.5000 0.0000  2 Se 1.89
F 0.0000 0.5000 0.5000  2 Se 2.26
F 0.5000 0.0000 0.5000  2 Se 2.26

Properties
- Size of the total moment: 3.18 μB per cell
- Energy relative to the lowest polymorph listed for this composition: 1.495 eV/atom
- Crystal system: tetragonal
- Formation energy (no corrections): -0.17 eV per atom

***

(2)
NbSeOF2 at its PBEsol-relaxed geometry, computed with meta-GGA SCAN.

Cell: 4.2368 4.2368 3.9301 Å, 90.00 90.00 90.00°
Closest atoms and distances in Å follow each position.
Positions (direct):
Nb 0.0000 0.0000 0.0000  2 O 1.97, 4 F 2.12
Se 0.5000 0.5000 0.5000  8 F 2.89, 4 O 3.00
O 0.0000 0.0000 0.5000  2 Nb 1.97
F 0.0000 0.5000 0.0000  2 Nb 2.12
F 0.5000 0.0000 0.0000  2 Nb 2.12

Properties
- Size of the total moment: 1.00 μB per cell
- Energy relative to the lowest polymorph listed for this composition: 0.000 eV/atom
- Crystal system: tetragonal
- Formation energy (no corrections): -1.66 eV per atom

***

(3)
SrNbO2F at its PBEsol-relaxed geometry, computed with meta-GGA SCAN.

Cell: 4.5293 4.5293 4.2792 Å, 90.00 90.00 90.00°
Closest atoms and distances in Å follow each position.
Positions (direct):
Sr 0.0000 0.0000 0.0000  2 F 2.14, 4 O 2.26
Nb 0.5000 0.5000 0.5000  8 O 3.12, 4 F 3.20
O 0.0000 0.5000 0.0000  2 Sr 2.26
O 0.5000 0.0000 0.0000  2 Sr 2.26
F 0.0000 0.0000 0.5000  2 Sr 2.14

Properties
- Size of the total moment: 2.00 μB per cell
- Crystal system: tetragonal
- Formation energy (no corrections): -0.91 eV per atom

***

(4)
TiNbTlO4F2 at its PBEsol-relaxed geometry, computed with meta-GGA SCAN.

Cell: 7.2653 7.2653 7.4538 Å, 119.13 119.13 90.06°
Closest atoms and distances in Å follow each position.
Positions (direct):
Ti 0.0059 0.9941 0.5000  3 O 1.82-1.88, 2 F 1.97-1.99
Ti 0.9941 0.0059 0.0000  3 O 1.82-1.88, 2 F 1.97-1.99
Nb 0.5134 0.9871 0.5158  4 O 1.88-2.00
Nb 0.9871 0.5134 0.0158  4 O 1.88-2.00
Tl 0.3772 0.5423 0.6020  2 O 2.61-2.86, 1 F 2.89
Tl 0.5423 0.3772 0.1020  2 O 2.61-2.86, 1 F 2.89
O 0.0757 0.3090 0.1269  1 Ti 1.88, 1 Nb 2.00
O 0.3090 0.0757 0.6269  1 Ti 1.88, 1 Nb 2.00
O 0.3326 0.6892 0.2744  1 Nb 1.88
O 0.6892 0.3326 0.7744  1 Nb 1.88
O 0.7009 0.9446 0.7771  1 Ti 1.82, 1 Nb 1.94
O 0.7194 0.9772 0.4223  1 Ti 1.86, 1 Nb 1.92
O 0.9446 0.7009 0.2771  1 Ti 1.82, 1 Nb 1.94
O 0.9772 0.7194 0.9223  1 Ti 1.86, 1 Nb 1.92
F 0.0785 0.9493 0.7674  2 Ti 1.97-1.99
F 0.0861 0.3282 0.7719  1 Ti 2.10, 1 Nb 2.13
F 0.3282 0.0861 0.2719  1 Ti 2.10, 1 Nb 2.13
F 0.9493 0.0785 0.2674  2 Ti 1.97-1.99

Properties
- Size of the total moment: 0.00 μB per cell
- Crystal system: monoclinic
- Formation energy (no corrections): -2.80 eV per atom

***

(5)
NbTlOF2 at its PBEsol-relaxed geometry, computed with meta-GGA SCAN.

Cell: 4.3811 4.3811 3.9870 Å, 90.00 90.00 90.00°
Closest atoms and distances in Å follow each position.
Positions (direct):
Nb 0.0000 0.0000 0.0000  2 O 1.99, 4 F 2.19
Tl 0.5000 0.5000 0.5000  8 F 2.96, 4 O 3.10
O 0.0000 0.0000 0.5000  2 Nb 1.99
F 0.0000 0.5000 0.0000  2 Nb 2.19
F 0.5000 0.0000 0.0000  2 Nb 2.19

Properties
- Size of the total moment: 1.92 μB per cell
- Crystal system: tetragonal
- Formation energy (no corrections): -2.16 eV per atom

***

(6)
Nb2WOF at its PBEsol-relaxed geometry, computed with meta-GGA SCAN.

Cell: 4.8591 4.8591 3.8809 Å, 90.00 90.00 90.00°
Closest atoms and distances in Å follow each position.
Positions (direct):
Nb 0.0000 0.5000 0.0000  2 W 2.43
Nb 0.5000 0.0000 0.0000  2 W 2.43
W 0.0000 0.0000 0.0000  2 F 1.94
O 0.5000 0.5000 0.5000  8 Nb 3.11, 4 F 3.44
F 0.0000 0.0000 0.5000  2 W 1.94

Properties
- Size of the total moment: 2.21 μB per cell
- Crystal system: tetragonal
- Formation energy (no corrections): 0.86 eV per atom

***

(7)
YNbO2F at its PBEsol-relaxed geometry, computed with meta-GGA SCAN.

Cell: 4.3423 4.3423 4.1202 Å, 90.00 90.00 90.00°
Closest atoms and distances in Å follow each position.
Positions (direct):
Y 0.0000 0.0000 0.0000  2 F 2.06, 4 O 2.17
Nb 0.5000 0.5000 0.5000  8 O 2.99, 4 F 3.07
O 0.0000 0.5000 0.0000  2 Y 2.17
O 0.5000 0.0000 0.0000  2 Y 2.17
F 0.0000 0.0000 0.5000  2 Y 2.06

Properties
- Size of the total moment: 3.00 μB per cell
- Crystal system: tetragonal
- Formation energy (no corrections): -1.99 eV per atom

***

(8)
NbZnOF2 at its PBEsol-relaxed geometry, computed with meta-GGA SCAN.

Cell: 4.2441 4.2441 3.9213 Å, 90.00 90.00 90.00°
Closest atoms and distances in Å follow each position.
Positions (direct):
Nb 0.0000 0.0000 0.0000  2 O 1.96, 4 F 2.12
Zn 0.5000 0.5000 0.5000  8 F 2.89, 4 O 3.00
O 0.0000 0.0000 0.5000  2 Nb 1.96
F 0.0000 0.5000 0.0000  2 Nb 2.12
F 0.5000 0.0000 0.0000  2 Nb 2.12

Properties
- Size of the total moment: 1.00 μB per cell
- Crystal system: tetragonal
- Formation energy (no corrections): -1.88 eV per atom